# Zr3VC

A geometry-optimized Zr3VC structure (PBE, Alexandria).

Structure (CIF):
```
data_Zr3VC
_chemical_formula_sum 'Zr3 V1 C1'
_symmetry_space_group_name_H-M 'P m -3 m'
_symmetry_Int_Tables_number 221
_symmetry_space_group_name_Hall '-P 4 2 3'
_cell_length_a 4.782
_cell_length_b 4.782
_cell_length_c 4.782
_cell_angle_alpha 90.00
_cell_angle_beta 90.00
_cell_angle_gamma 90.00
loop_
_atom_site_label
_atom_site_type_symbol
_atom_site_fract_x
_atom_site_fract_y
_atom_site_fract_z
_atom_site_occupancy
Zr1 Zr 0.000 0.000 0.500 1
V1 V 0.000 0.000 0.000 1
C1 C 0.500 0.500 0.500 1
```

Calculated values
- spin magnetization (μB per cell) = 0.002
- energy relative to the elements (eV/atom) = 1.740
- density of states at the Fermi level (states/eV per cell) = 6.9
- energy above the most stable polymorph in this dataset (eV/atom) = 1.8305

---

# WC3

A geometry-optimized WC3 structure (PBE, Alexandria).

Structure (CIF):
```
data_WC3
_chemical_formula_sum 'W4 C12'
_symmetry_space_group_name_H-M 'C m c m'
_symmetry_Int_Tables_number 63
_symmetry_space_group_name_Hall '-C 2c 2'
_cell_length_a 3.549
_cell_length_b 10.274
_cell_length_c 4.058
_cell_angle_alpha 90.00
_cell_angle_beta 90.00
_cell_angle_gamma 90.00
loop_
_atom_site_label
_atom_site_type_symbol
_atom_site_fract_x
_atom_site_fract_y
_atom_site_fract_z
_atom_site_occupancy
W1 W 0.000 0.091 0.250 1
C1 C 0.000 0.196 0.750 1
C2 C 0.199 0.406 0.250 1
```

Calculated values
- spin magnetization (μB per cell) = 0.000
- energy relative to the elements (eV/atom) = 1.075
- density of states at the Fermi level (states/eV per cell) = 7.5
- energy above the most stable polymorph in this dataset (eV/atom) = 0.1133

---

# W5C3

A geometry-optimized W5C3 structure (PBE, Alexandria).

Structure (CIF):
```
data_W5C3
_chemical_formula_sum 'W5 C3'
_symmetry_space_group_name_H-M 'P 4/m m m'
_symmetry_Int_Tables_number 123
_symmetry_space_group_name_Hall '-P 4 2'
_cell_length_a 2.755
_cell_length_b 2.755
_cell_length_c 12.510
_cell_angle_alpha 90.00
_cell_angle_beta 90.00
_cell_angle_gamma 90.00
loop_
_atom_site_label
_atom_site_type_symbol
_atom_site_fract_x
_atom_site_fract_y
_atom_site_fract_z
_atom_site_occupancy
W1 W 0.000 0.000 0.000 1
W2 W 0.000 0.000 0.213 1
W3 W 0.500 0.500 0.395 1
C1 C 0.000 0.000 0.500 1
C2 C 0.500 0.500 0.117 1
```

Calculated values
- spin magnetization (μB per cell) = 0.000
- energy relative to the elements (eV/atom) = 0.620
- density of states at the Fermi level (states/eV per cell) = 5.1
- energy above the most stable polymorph in this dataset (eV/atom) = 0.2077

---

# W3C

A geometry-optimized W3C structure (PBE, Alexandria).

Structure (CIF):
```
data_W3C
_chemical_formula_sum 'W6 C2'
_symmetry_space_group_name_H-M 'P m m n'
_symmetry_Int_Tables_number 59
_cell_length_a 4.328
_cell_length_b 4.961
_cell_length_c 5.641
_cell_angle_alpha 90.00
_cell_angle_beta 90.00
_cell_angle_gamma 90.00
loop_
_symmetry_equiv_pos_as_xyz
'x,y,z'
'-x,-y,-z'
'-x+1/2,-y+1/2,z'
'x+1/2,y+1/2,-z'
'x+1/2,-y,-z'
'-x+1/2,y,z'
'-x,y+1/2,-z'
'x,-y+1/2,z'
loop_
_atom_site_label
_atom_site_type_symbol
_atom_site_fract_x
_atom_site_fract_y
_atom_site_fract_z
_atom_site_occupancy
W1 W 0.250 0.000 0.120 1
W2 W 0.250 0.250 0.562 1
C1 C 0.250 0.750 0.447 1
```

Calculated values
- spin magnetization (μB per cell) = 0.000
- energy relative to the elements (eV/atom) = 0.998
- density of states at the Fermi level (states/eV per cell) = 4.6
- energy above the most stable polymorph in this dataset (eV/atom) = 0.8545

---

# W3C

A geometry-optimized W3C structure (PBE, Alexandria).

Structure (CIF):
```
data_W3C
_chemical_formula_sum 'W6 C2'
_symmetry_space_group_name_H-M 'I m m m'
_symmetry_Int_Tables_number 71
_symmetry_space_group_name_Hall '-I 2 2'
_cell_length_a 2.989
_cell_length_b 4.850
_cell_length_c 7.707
_cell_angle_alpha 90.00
_cell_angle_beta 90.00
_cell_angle_gamma 90.00
loop_
_atom_site_label
_atom_site_type_symbol
_atom_site_fract_x
_atom_site_fract_y
_atom_site_fract_z
_atom_site_occupancy
W1 W 0.000 0.000 0.000 1
W2 W 0.000 0.500 0.194 1
C1 C 0.000 0.000 0.500 1
```

Calculated values
- spin magnetization (μB per cell) = 0.000
- energy relative to the elements (eV/atom) = 0.495
- density of states at the Fermi level (states/eV per cell) = 4.4
- energy above the most stable polymorph in this dataset (eV/atom) = 0.3513

---

# W2C3

A geometry-optimized W2C3 structure (PBE, Alexandria).

Structure (CIF):
```
data_W2C3
_chemical_formula_sum 'W16 C24'
_symmetry_space_group_name_H-M 'F d d 2'
_symmetry_Int_Tables_number 43
_symmetry_space_group_name_Hall 'F 2 -2d'
_cell_length_a 8.893
_cell_length_b 10.026
_cell_length_c 5.208
_cell_angle_alpha 90.00
_cell_angle_beta 90.00
_cell_angle_gamma 90.00
loop_
_atom_site_label
_atom_site_type_symbol
_atom_site_fract_x
_atom_site_fract_y
_atom_site_fract_z
_atom_site_occupancy
W1 W 0.042 0.312 0.000 1
C1 C 0.000 0.000 0.817 1
C2 C 0.086 0.013 0.376 1
```

Calculated values
- spin magnetization (μB per cell) = 0.000
- energy relative to the elements (eV/atom) = 0.887
- density of states at the Fermi level (states/eV per cell) = 0.3
- energy above the most stable polymorph in this dataset (eV/atom) = 0.0000

---

# WC

A geometry-optimized WC structure (PBE, Alexandria).

Structure (CIF):
```
data_WC
_chemical_formula_sum 'W16 C16'
_symmetry_space_group_name_H-M 'F d d d'
_symmetry_Int_Tables_number 70
_cell_length_a 6.166
_cell_length_b 6.354
_cell_length_c 8.664
_cell_angle_alpha 90.00
_cell_angle_beta 90.00
_cell_angle_gamma 90.00
loop_
_symmetry_equiv_pos_as_xyz
'x,y,z'
'-x,-y,-z'
'-x+1/4,-y+1/4,z'
'x+1/4,y+1/4,-z'
'x,-y+1/4,-z+1/4'
'-x,y+1/4,z+1/4'
'-x+1/4,y,-z+1/4'
'x+1/4,-y,z+1/4'
'x,y+1/2,z+1/2'
'-x,-y+1/2,-z+1/2'
'-x+1/4,-y+3/4,z+1/2'
'x+1/4,y+3/4,-z+1/2'
'x,-y+3/4,-z+3/4'
'-x,y+3/4,z+3/4'
'-x+1/4,y+1/2,-z+3/4'
'x+1/4,-y+1/2,z+3/4'
'x+1/2,y,z+1/2'
'-x+1/2,-y,-z+1/2'
'-x+3/4,-y+1/4,z+1/2'
'x+3/4,y+1/4,-z+1/2'
'x+1/2,-y+1/4,-z+3/4'
'-x+1/2,y+1/4,z+3/4'
'-x+3/4,y,-z+3/4'
'x+3/4,-y,z+3/4'
'x+1/2,y+1/2,z'
'-x+1/2,-y+1/2,-z'
'-x+3/4,-y+3/4,z'
'x+3/4,y+3/4,-z'
'x+1/2,-y+3/4,-z+1/4'
'-x+1/2,y+3/4,z+1/4'
'-x+3/4,y+1/2,-z+1/4'
'x+3/4,-y+1/2,z+1/4'
loop_
_atom_site_label
_atom_site_type_symbol
_atom_site_fract_x
_atom_site_fract_y
_atom_site_fract_z
_atom_site_occupancy
W1 W 0.101 0.375 0.375 1
C1 C 0.125 0.357 0.625 1
```

Calculated values
- spin magnetization (μB per cell) = 0.000
- energy relative to the elements (eV/atom) = 0.307
- density of states at the Fermi level (states/eV per cell) = 13.3
- energy above the most stable polymorph in this dataset (eV/atom) = 0.4351

---

# W3C

A geometry-optimized W3C structure (PBE, Alexandria).

Structure (CIF):
```
data_W3C
_chemical_formula_sum 'W9 C3'
_symmetry_space_group_name_H-M 'R -3 m'
_symmetry_Int_Tables_number 166
_symmetry_space_group_name_Hall '-R 3 2"'
_cell_length_a 3.0198
_cell_length_b 3.0198
_cell_length_c 20.8253
_cell_angle_alpha 90.00
_cell_angle_beta 90.00
_cell_angle_gamma 120.00
loop_
_atom_site_label
_atom_site_type_symbol
_atom_site_fract_x
_atom_site_fract_y
_atom_site_fract_z
_atom_site_occupancy
W1 W 0.0000 0.0000 0.0000 1
W2 W 0.0000 0.0000 0.2257 1
C1 C 0.0000 0.0000 0.5000 1
```

Calculated values
- spin magnetization (μB per cell) = 0.000
- energy relative to the elements (eV/atom) = 0.144
- density of states at the Fermi level (states/eV per cell) = 6.9
- energy above the most stable polymorph in this dataset (eV/atom) = 0.0000

---

# W3C

A geometry-optimized W3C structure (PBE, Alexandria).

Structure (CIF):
```
data_W3C
_chemical_formula_sum 'W3 C1'
_symmetry_space_group_name_H-M 'P m -3 m'
_symmetry_Int_Tables_number 221
_symmetry_space_group_name_Hall '-P 4 2 3'
_cell_length_a 4.111
_cell_length_b 4.111
_cell_length_c 4.111
_cell_angle_alpha 90.00
_cell_angle_beta 90.00
_cell_angle_gamma 90.00
loop_
_atom_site_label
_atom_site_type_symbol
_atom_site_fract_x
_atom_site_fract_y
_atom_site_fract_z
_atom_site_occupancy
W1 W 0.000 0.000 0.500 1
C1 C 0.000 0.000 0.000 1
```

Calculated values
- spin magnetization (μB per cell) = 0.000
- energy relative to the elements (eV/atom) = 1.143
- density of states at the Fermi level (states/eV per cell) = 5.8
- energy above the most stable polymorph in this dataset (eV/atom) = 0.9988

---

# W5C3

A geometry-optimized W5C3 structure (PBE, Alexandria).

Structure (CIF):
```
data_W5C3
_chemical_formula_sum 'W10 C6'
_symmetry_space_group_name_H-M 'C m m m'
_symmetry_Int_Tables_number 65
_symmetry_space_group_name_Hall '-C 2 2'
_cell_length_a 7.134
_cell_length_b 9.564
_cell_length_c 2.983
_cell_angle_alpha 90.00
_cell_angle_beta 90.00
_cell_angle_gamma 90.00
loop_
_atom_site_label
_atom_site_type_symbol
_atom_site_fract_x
_atom_site_fract_y
_atom_site_fract_z
_atom_site_occupancy
W1 W 0.000 0.000 0.000 1
W2 W 0.190 0.500 0.500 1
W3 W 0.250 0.250 0.000 1
C1 C 0.000 0.176 0.500 1
C2 C 0.000 0.500 0.000 1
```

Calculated values
- spin magnetization (μB per cell) = 0.000
- energy relative to the elements (eV/atom) = 0.784
- density of states at the Fermi level (states/eV per cell) = 12.4
- energy above the most stable polymorph in this dataset (eV/atom) = 0.3717

---

# WC4

A geometry-optimized WC4 structure (PBE, Alexandria).

Structure (CIF):
```
data_WC4
_chemical_formula_sum 'W1 C4'
_symmetry_space_group_name_H-M 'P -3 m 1'
_symmetry_Int_Tables_number 164
_symmetry_space_group_name_Hall '-P 3 2"'
_cell_length_a 2.7591
_cell_length_b 2.7591
_cell_length_c 6.3751
_cell_angle_alpha 90.00
_cell_angle_beta 90.00
_cell_angle_gamma 120.00
loop_
_atom_site_label
_atom_site_type_symbol
_atom_site_fract_x
_atom_site_fract_y
_atom_site_fract_z
_atom_site_occupancy
W1 W 0.0000 0.0000 0.0000 1
C1 C 0.3333 0.6667 0.2279 1
C2 C 0.3333 0.6667 0.4567 1
```

Calculated values
- spin magnetization (μB per cell) = 0.000
- energy relative to the elements (eV/atom) = 0.735
- density of states at the Fermi level (states/eV per cell) = 1.1
- energy above the most stable polymorph in this dataset (eV/atom) = 0.0000

---

# WC

A geometry-optimized WC structure (PBE, Alexandria).

Structure (CIF):
```
data_WC
_chemical_formula_sum 'W3 C3'
_symmetry_space_group_name_H-M 'P 6/m m m'
_symmetry_Int_Tables_number 191
_symmetry_space_group_name_Hall '-P 6 2'
_cell_length_a 5.2366
_cell_length_b 5.2366
_cell_length_c 2.8895
_cell_angle_alpha 90.00
_cell_angle_beta 90.00
_cell_angle_gamma 120.00
loop_
_atom_site_label
_atom_site_type_symbol
_atom_site_fract_x
_atom_site_fract_y
_atom_site_fract_z
_atom_site_occupancy
W1 W 0.0000 0.0000 0.0000 1
W2 W 0.3333 0.6667 0.5000 1
C1 C 0.0000 0.5000 0.0000 1
```

Calculated values
- spin magnetization (μB per cell) = 0.000
- energy relative to the elements (eV/atom) = 0.726
- density of states at the Fermi level (states/eV per cell) = 1.9
- energy above the most stable polymorph in this dataset (eV/atom) = 0.8541

---

# WC

A geometry-optimized WC structure (PBE, Alexandria).

Structure (CIF):
```
data_WC
_chemical_formula_sum 'W6 C6'
_symmetry_space_group_name_H-M 'R -3 m'
_symmetry_Int_Tables_number 166
_symmetry_space_group_name_Hall '-R 3 2"'
_cell_length_a 3.1674
_cell_length_b 3.1674
_cell_length_c 15.0660
_cell_angle_alpha 90.00
_cell_angle_beta 90.00
_cell_angle_gamma 120.00
loop_
_atom_site_label
_atom_site_type_symbol
_atom_site_fract_x
_atom_site_fract_y
_atom_site_fract_z
_atom_site_occupancy
W1 W 0.0000 0.0000 0.0923 1
C1 C 0.0000 0.0000 0.3282 1
```

Calculated values
- spin magnetization (μB per cell) = 0.000
- energy relative to the elements (eV/atom) = 1.463
- density of states at the Fermi level (states/eV per cell) = 5.3
- energy above the most stable polymorph in this dataset (eV/atom) = 1.5906